EuScPd PBE-GGA optimized geometry; E_tot = -7.7384 eV/atom; magnetic moment = 7.46 μB per formula unit; energy of formation from the pure elements = -472 meV/atom
1.0
-2.282 -1.160 2.375
0.733 -3.292 -0.904
5.215 2.066 3.453
Eu Sc Pd
1 1 1
direct
0.018 0.018 0.035
0.292 0.292 0.584
0.690 0.690 0.381